A plane-wave DFT calculation with PBE-GGA was carried out for a geometry-optimized Sr2AlGe structure.

Summary:
DFT total energy: -3.37 eV/atom
total magnetization: 0.000 μB per atom
energy of formation: -170 kJ/mol of formula units

POSCAR file:
```
Sr2AlGe
1.0
6.457 0.000 0.000
0.000 4.313 0.000
-2.808 0.000 8.968
Sr Al Ge
4 2 2
Cartesian
0.134 1.078 3.810
1.644 3.235 0.598
2.004 1.078 8.370
3.515 3.235 5.158
0.213 3.235 6.454
3.436 1.078 2.514
-1.201 1.078 7.018
4.850 3.235 1.949
```


A plane-wave DFT calculation with PBE-GGA was carried out for a geometry-optimized Hg5H4I2 structure.

Summary:
DFT total energy: -1.56 eV/atom
total magnetization: 0.000 μB per atom

POSCAR file:
```
Hg5H4I2
1.0
5.083 0.000 0.000
-0.702 7.405 0.000
-0.327 -0.999 8.172
Hg H I
5 4 2
Cartesian
0.000 0.000 0.000
0.919 3.095 0.752
1.284 5.028 5.212
2.769 1.377 2.960
3.134 3.310 7.420
0.144 4.990 6.407
0.456 6.921 1.109
3.598 -0.516 7.063
3.909 1.415 1.765
0.947 1.297 4.923
3.106 5.108 3.249
```


A plane-wave DFT calculation with PBE-GGA was carried out for a geometry-optimized Tb5Er12Tm2 structure.

Summary:
DFT total energy: -4.45 eV/atom
total magnetization: 0.000 μB per atom
energy of formation: 227 kJ/mol of formula units

POSCAR file:
```
Tb5Er12Tm2
1.0
7.673 -4.581 0.000
7.673 4.581 0.000
-0.307 0.000 8.486
Tb Er Tm
5 12 2
Cartesian
0.000 0.000 0.000
3.521 0.000 0.605
4.366 0.000 4.072
10.673 0.000 4.413
11.519 0.000 7.881
5.310 2.935 2.210
1.027 0.000 3.171
5.429 1.754 7.046
9.729 2.935 6.276
9.610 1.754 1.440
6.752 0.000 1.395
8.287 0.000 7.090
5.429 -1.754 7.046
5.310 -2.935 2.210
9.610 -1.754 1.440
14.012 0.000 5.314
9.729 -2.935 6.276
7.520 1.584 4.243
7.520 -1.584 4.243
```


A plane-wave DFT calculation with PBE-GGA was carried out for a geometry-optimized PmPr2YTm5 structure.

Summary:
DFT total energy: -4.53 eV/atom
total magnetization: 0.000 μB per atom
energy of formation: 228 kJ/mol of formula units

POSCAR file:
```
PmPr2YTm5
1.0
-4.339 4.339 7.745
4.339 -4.339 7.745
4.339 4.339 -7.745
Pm Pr Y Tm
2 4 2 10
Cartesian
0.000 0.000 3.872
0.000 0.000 11.617
5.358 1.019 0.000
1.019 3.320 0.000
3.320 1.019 7.745
-1.019 3.320 7.745
4.339 0.000 3.872
0.000 4.339 3.872
0.000 0.000 0.000
2.497 1.842 -2.158
2.497 -1.842 5.587
2.497 1.842 2.158
2.497 -1.842 9.902
0.000 0.000 7.745
1.842 6.182 -2.158
1.842 2.497 5.587
1.842 6.182 2.158
1.842 2.497 9.902
```